Below is an optimized crystal structure of NdTaNi, with properties calculated at the GGA-PBE level.

abc: 4.5232 4.5232 4.5232
angles: 60.00 60.00 60.00
Closest atoms and distances in Å follow each position.
Positions (direct):
Nd: 0.2500 0.2500 0.2500  4 Ni 2.77
Ni: 0.0000 0.0000 0.0000  4 Nd 2.77, 4 Ta 2.77
Ta: 0.7500 0.7500 0.7500  4 Ni 2.77

Output
- Total DFT energy (no corrections): -20.5 eV per formula unit